No. 1
A relaxed Nb2TeI crystal. Source: Alexandria via LeMat-Bulk, functional PBE.

Cell and atoms, written as POSCAR:
```
Nb2TeI
1.0
-2.119 -3.347 2.833
0.779 0.032 4.807
-3.579 1.295 3.038
I Nb Te
1 2 1
direct
0.500 0.500 0.500
0.250 0.250 0.250
0.750 0.750 0.750
0.000 0.000 0.000
```

## Properties
distance to the lowest polymorph of the same formula	0.000	eV/f.u.
formation energy from raw total energies	278	meV per atom

No. 2
A relaxed NbTe3I crystal. Source: Alexandria via LeMat-Bulk, functional PBE.

Cell and atoms, written as POSCAR:
```
NbTe3I
1.0
5.440 0.000 0.000
0.000 5.440 0.000
0.000 0.000 5.440
I Nb Te
1 1 3
direct
0.500 0.500 0.500
0.000 0.000 0.000
0.000 0.500 0.000
0.000 0.000 0.500
0.500 0.000 0.000
```

## Properties
distance to the lowest polymorph of the same formula	1.905	eV/f.u.
formation energy from raw total energies	91	meV per atom

No. 3
A relaxed Nb2TeI crystal. Source: Alexandria via LeMat-Bulk, functional PBE.

Cell and atoms, written as POSCAR:
```
Nb2TeI
1.0
-0.137 -3.426 5.336
3.214 -4.638 -2.895
7.018 -1.384 3.062
I Nb Te
2 4 2
direct
0.000 0.000 0.000
0.750 0.250 0.500
0.621 0.125 0.250
0.129 0.625 0.250
0.375 0.379 0.750
0.875 0.871 0.750
0.500 0.500 0.000
0.250 0.750 0.500
```

## Properties
distance to the lowest polymorph of the same formula	2.134	eV/f.u.
formation energy from raw total energies	812	meV per atom

No. 4
A relaxed NbTe4I crystal. Source: Alexandria via LeMat-Bulk, functional PBE.

Cell and atoms, written as POSCAR:
```
NbTe4I
1.0
-5.009 -10.867 10.464
7.856 -1.188 2.527
-0.808 9.493 9.472
I Nb Te
8 8 32
direct
0.966 0.610 0.860
0.035 0.119 0.628
0.534 0.610 0.360
0.465 0.119 0.128
0.466 0.390 0.640
0.535 0.881 0.872
0.034 0.390 0.140
0.965 0.881 0.372
0.750 0.245 0.504
0.248 0.756 0.245
0.752 0.244 0.755
0.750 0.245 0.004
0.250 0.755 0.996
0.250 0.755 0.496
0.252 0.756 0.745
0.748 0.244 0.255
0.216 0.484 0.630
0.784 0.516 0.370
0.162 0.980 0.853
0.895 0.253 0.378
0.662 0.020 0.647
0.105 0.747 0.622
0.663 0.472 0.615
0.716 0.516 0.870
0.788 0.974 0.890
0.342 0.534 0.871
0.340 0.980 0.872
0.837 0.472 0.115
0.605 0.253 0.878
0.712 0.974 0.390
0.288 0.026 0.610
0.163 0.528 0.885
0.337 0.528 0.385
0.842 0.466 0.629
0.160 0.980 0.372
0.899 0.238 0.881
0.395 0.747 0.122
0.840 0.020 0.628
0.660 0.020 0.128
0.212 0.026 0.110
0.338 0.980 0.353
0.158 0.534 0.371
0.101 0.762 0.119
0.284 0.484 0.130
0.399 0.762 0.619
0.601 0.238 0.381
0.838 0.020 0.147
0.658 0.466 0.129
```

## Properties
formation energy from raw total energies	-339	meV per atom

No. 5
A relaxed Nb2Te4I crystal. Source: Alexandria via LeMat-Bulk, functional PBE.

Cell and atoms, written as POSCAR:
```
Nb2Te4I
1.0
9.259 -0.950 -0.278
-1.682 8.603 0.556
-3.723 -3.725 5.240
Nb Te I
4 8 2
direct
0.672 0.329 0.867
0.545 0.845 0.127
0.638 0.363 0.263
0.155 0.454 0.737
0.815 0.184 0.166
0.409 0.591 0.228
0.903 0.570 0.789
0.843 0.157 0.667
0.431 0.097 0.317
0.314 0.191 0.772
0.467 0.532 0.714
0.808 0.686 0.267
0.244 0.755 0.671
0.006 0.998 0.915
```

## Properties
formation energy from raw total energies	-195	meV per atom

No. 6
A relaxed Nb3TeI crystal. Source: Alexandria via LeMat-Bulk, functional PBE.

Cell and atoms, written as POSCAR:
```
Nb3TeI
1.0
5.059 0.000 0.000
0.000 5.059 0.000
0.000 0.000 5.059
I Nb Te
1 3 1
direct
0.000 0.000 0.000
0.000 0.500 0.000
0.000 0.000 0.500
0.500 0.000 0.000
0.500 0.500 0.500
```

## Properties
distance to the lowest polymorph of the same formula	0.448	eV/f.u.
formation energy from raw total energies	1516	meV per atom

No. 7
A relaxed NbTe4I crystal. Source: Alexandria via LeMat-Bulk, functional PBE.

Cell and atoms, written as POSCAR:
```
NbTe4I
1.0
-2.408 -2.651 3.313
2.795 -3.436 -2.046
6.383 1.645 5.957
Nb Te I
1 4 1
direct
0.497 0.501 0.002
0.997 0.501 0.819
0.997 0.501 0.184
0.497 0.001 0.184
0.497 0.001 0.819
0.997 0.001 0.502
```

## Properties
formation energy from raw total energies	-35	meV per atom

No. 8
A relaxed Th2NbTe2I4 crystal. Source: Alexandria via LeMat-Bulk, functional PBE.

Cell and atoms, written as POSCAR:
```
Th2NbTe2I4
1.0
-2.039 0.657 3.261
3.824 -0.746 0.208
4.860 24.398 -1.876
Th Nb Te I
2 1 2 4
direct
0.000 0.000 0.990
0.667 0.333 0.641
0.000 0.000 0.328
0.667 0.333 0.399
0.667 0.333 0.258
0.000 0.000 0.549
0.667 0.333 0.081
0.667 0.333 0.897
0.000 0.000 0.733
```

## Properties
formation energy from raw total energies	-820	meV per atom

No. 9
A relaxed TiNbTe2I crystal. Source: Alexandria via LeMat-Bulk, functional PBE.

Cell and atoms, written as POSCAR:
```
TiNbTe2I
1.0
-4.740 -2.408 0.603
2.047 -4.527 -1.986
1.410 -1.536 4.954
I Nb Te Ti
1 1 2 1
direct
0.000 0.000 0.500
0.500 0.500 0.500
0.000 0.500 0.000
0.500 0.000 0.000
0.000 0.000 0.000
```

## Properties
distance to the lowest polymorph of the same formula	0.000	eV/f.u.
formation energy from raw total energies	544	meV per atom

No. 10
A relaxed NbTlTe2I crystal. Source: Alexandria via LeMat-Bulk, functional PBE.

Cell and atoms, written as POSCAR:
```
NbTlTe2I
1.0
5.445 0.000 0.000
0.000 5.966 0.000
0.000 0.000 5.445
I Tl Te Nb
1 1 2 1
direct
0.000 0.500 0.000
0.500 0.500 0.500
0.000 0.000 0.500
0.500 0.000 0.000
0.000 0.000 0.000
```

## Properties
distance to the lowest polymorph of the same formula	0.000	eV/f.u.
formation energy from raw total energies	-124	meV per atom

No. 11
A relaxed NbVTe2I crystal. Source: Alexandria via LeMat-Bulk, functional PBE.

Cell and atoms, written as POSCAR:
```
NbVTe2I
1.0
-0.367 1.950 5.028
-5.345 -0.799 -0.081
0.751 -5.232 2.084
I Nb Te V
1 1 2 1
direct
0.000 0.000 0.500
0.000 0.000 0.000
0.000 0.500 0.000
0.500 0.000 0.000
0.500 0.500 0.500
```

## Properties
distance to the lowest polymorph of the same formula	0.000	eV/f.u.
formation energy from raw total energies	651	meV per atom

No. 12
A relaxed NbTe2WI crystal. Source: Alexandria via LeMat-Bulk, functional PBE.

Cell and atoms, written as POSCAR:
```
NbTe2WI
1.0
5.272 0.000 0.000
0.000 5.272 0.000
0.000 0.000 5.530
I Nb Te W
1 1 2 1
direct
0.000 0.000 0.500
0.500 0.500 0.500
0.000 0.500 0.000
0.500 0.000 0.000
0.000 0.000 0.000
```

## Properties
distance to the lowest polymorph of the same formula	0.000	eV/f.u.
formation energy from raw total energies	1235	meV per atom